An optimized crystal structure of Ba2SrMgGa. Source: Alexandria via LeMat-Bulk, functional PBE-GGA.

The space group is P4/mmm (No. 123) and the conventional cell measures 6.6070, 6.6070 and 5.2964 Å, with angles of 90.00, 90.00 and 90.00 degrees. The inequivalent atoms are Ba at (0.0000, 0.5000, 0.0000), Sr at (0.0000, 0.0000, 0.5000), Mg at (0.5000, 0.5000, 0.5000) and Ga at (0.5000, 0.5000, 0.0000).

The calculation puts the formation energy at -0.013 eV per atom. The value obtained for the density of states at the Fermi level is 1.037 states/eV/atom. Its final energy is -10.2 eV/cell. As for the spin magnetization: 0.00 μB/f.u.